No. 1
Computed, not measured: a relaxed LaSm5Tl3 crystal at the PBE-GGA level of DFT.

## Properties
- total magnetization (Bohr magnetons per cell) = 4.2
- E_form (meV per atom) = -269
- calculated total energy (eV per atom) = -4.2269

Structure (CIF):
```
data_LaSm5Tl3
_chemical_formula_sum 'La2 Sm10 Tl6'
_symmetry_space_group_name_H-M 'P 63/m c m'
_symmetry_Int_Tables_number 193
_symmetry_space_group_name_Hall '-P 6c 2'
_cell_length_a 9.5961
_cell_length_b 9.5961
_cell_length_c 6.8961
_cell_angle_alpha 90.00
_cell_angle_beta 90.00
_cell_angle_gamma 120.00
loop_
_atom_site_label
_atom_site_fract_x
_atom_site_fract_y
_atom_site_fract_z
_atom_site_occupancy
La1 0.0000 0.0000 0.0000 1
Sm1 0.0000 0.3305 0.2500 1
Sm2 0.3333 0.6667 0.0000 1
Tl1 0.0000 0.3386 0.7500 1
```



No. 2
Computed, not measured: a relaxed LaSm3Tl crystal at the PBE-GGA level of DFT.

## Properties
- total magnetization (Bohr magnetons per cell) = 5.7
- E_form (meV per atom) = 342
- energy relative to the lowest polymorph listed for this composition (meV/atom) = 383
- calculated total energy (eV per atom) = -3.9485

Structure (CIF):
```
data_LaSm3Tl
_chemical_formula_sum 'La3 Sm9 Tl3'
_symmetry_space_group_name_H-M 'R -3 m'
_symmetry_Int_Tables_number 166
_symmetry_space_group_name_Hall '-R 3 2"'
_cell_length_a 10.1600
_cell_length_b 10.1600
_cell_length_c 6.4840
_cell_angle_alpha 90.00
_cell_angle_beta 90.00
_cell_angle_gamma 120.00
loop_
_atom_site_label
_atom_site_fract_x
_atom_site_fract_y
_atom_site_fract_z
_atom_site_occupancy
La1 0.0000 0.0000 0.0000 1
Sm1 0.0000 0.5000 0.0000 1
Tl1 0.0000 0.0000 0.5000 1
```



No. 3
Computed, not measured: a relaxed La4SmTl crystal at the PBE-GGA level of DFT.

## Properties
- total magnetization (Bohr magnetons per cell) = 0.0
- E_form (meV per atom) = -45
- energy relative to the lowest polymorph listed for this composition (meV/atom) = 79
- calculated total energy (eV per atom) = -4.5105

Structure (CIF):
```
data_La4SmTl
_chemical_formula_sum 'La16 Sm4 Tl4'
_symmetry_space_group_name_H-M 'C m c 21'
_symmetry_Int_Tables_number 36
_cell_length_a 5.862
_cell_length_b 21.591
_cell_length_c 6.507
_cell_angle_alpha 90.00
_cell_angle_beta 90.00
_cell_angle_gamma 90.00
loop_
_symmetry_equiv_pos_as_xyz
'x,y,z'
'-x,-y,z+1/2'
'-x,y,z'
'x,-y,z+1/2'
'x+1/2,y+1/2,z'
'-x+1/2,-y+1/2,z+1/2'
'-x+1/2,y+1/2,z'
'x+1/2,-y+1/2,z+1/2'
loop_
_atom_site_label
_atom_site_fract_x
_atom_site_fract_y
_atom_site_fract_z
_atom_site_occupancy
La1 0.000 0.049 0.000 1
La2 0.000 0.192 0.880 1
La3 0.000 0.253 0.306 1
La4 0.000 0.442 0.215 1
Sm1 0.000 0.365 0.738 1
Tl1 0.000 0.103 0.473 1
```



No. 4
Computed, not measured: a relaxed La6SmTl5 crystal at the PBE-GGA level of DFT.

## Properties
- total magnetization (Bohr magnetons per cell) = 6.0
- E_form (meV per atom) = -320
- calculated total energy (eV per atom) = -4.1627

Structure (CIF):
```
data_La6SmTl5
_chemical_formula_sum 'La12 Sm2 Tl10'
_symmetry_space_group_name_H-M 'C m m m'
_symmetry_Int_Tables_number 65
_symmetry_space_group_name_Hall '-C 2 2'
_cell_length_a 5.673
_cell_length_b 17.384
_cell_length_c 7.845
_cell_angle_alpha 90.00
_cell_angle_beta 90.00
_cell_angle_gamma 90.00
loop_
_atom_site_label
_atom_site_fract_x
_atom_site_fract_y
_atom_site_fract_z
_atom_site_occupancy
La1 0.000 0.000 0.229 1
La2 0.000 0.326 0.252 1
Sm1 0.000 0.500 0.500 1
Tl1 0.000 0.149 0.500 1
Tl2 0.000 0.167 0.000 1
Tl3 0.000 0.500 0.000 1
```



No. 5
Computed, not measured: a relaxed La3Sm2Tl crystal at the PBE-GGA level of DFT.

## Properties
- total magnetization (Bohr magnetons per cell) = 0.0
- E_form (meV per atom) = -52
- calculated total energy (eV per atom) = -4.4829

Structure (CIF):
```
data_La3Sm2Tl
_chemical_formula_sum 'La6 Sm4 Tl2'
_symmetry_space_group_name_H-M 'C m m m'
_symmetry_Int_Tables_number 65
_symmetry_space_group_name_Hall '-C 2 2'
_cell_length_a 5.855
_cell_length_b 11.312
_cell_length_c 5.978
_cell_angle_alpha 90.00
_cell_angle_beta 90.00
_cell_angle_gamma 90.00
loop_
_atom_site_label
_atom_site_fract_x
_atom_site_fract_y
_atom_site_fract_z
_atom_site_occupancy
La1 0.000 0.000 0.000 1
La2 0.000 0.342 0.000 1
Sm1 0.000 0.154 0.500 1
Tl1 0.000 0.500 0.500 1
```



No. 6
Computed, not measured: a relaxed LaSm4Tl5 crystal at the PBE-GGA level of DFT.

## Properties
- total magnetization (Bohr magnetons per cell) = 0.0
- E_form (meV per atom) = -390
- calculated total energy (eV per atom) = -3.9532

Structure (CIF):
```
data_LaSm4Tl5
_chemical_formula_sum 'La1 Sm4 Tl5'
_symmetry_space_group_name_H-M 'P 4/m m m'
_symmetry_Int_Tables_number 123
_symmetry_space_group_name_Hall '-P 4 2'
_cell_length_a 3.850
_cell_length_b 3.850
_cell_length_c 19.796
_cell_angle_alpha 90.00
_cell_angle_beta 90.00
_cell_angle_gamma 90.00
loop_
_atom_site_label
_atom_site_fract_x
_atom_site_fract_y
_atom_site_fract_z
_atom_site_occupancy
La1 0.000 0.000 0.000 1
Sm1 0.000 0.000 0.205 1
Sm2 0.000 0.000 0.402 1
Tl1 0.500 0.500 0.107 1
Tl2 0.500 0.500 0.304 1
Tl3 0.500 0.500 0.500 1
```



No. 7
Computed, not measured: a relaxed LaSm12Tl6 crystal at the PBE-GGA level of DFT.

## Properties
- total magnetization (Bohr magnetons per cell) = 0.0
- E_form (meV per atom) = -38
- calculated total energy (eV per atom) = -4.0249

Structure (CIF):
```
data_LaSm12Tl6
_chemical_formula_sum 'La3 Sm36 Tl18'
_symmetry_space_group_name_H-M 'R -3 m'
_symmetry_Int_Tables_number 166
_symmetry_space_group_name_Hall '-R 3 2"'
_cell_length_a 13.2004
_cell_length_b 13.2004
_cell_length_c 11.9659
_cell_angle_alpha 90.00
_cell_angle_beta 90.00
_cell_angle_gamma 120.00
loop_
_atom_site_label
_atom_site_fract_x
_atom_site_fract_y
_atom_site_fract_z
_atom_site_occupancy
La1 0.0000 0.0000 0.0000 1
Sm1 0.0000 0.2721 0.5000 1
Sm2 0.0879 0.1758 0.2631 1
Tl1 0.0355 0.5177 0.6250 1
```



No. 8
Computed, not measured: a relaxed La4Sm9Tl11 crystal at the PBE-GGA level of DFT.

## Properties
- total magnetization (Bohr magnetons per cell) = 0.0
- E_form (meV per atom) = -317
- calculated total energy (eV per atom) = -3.9923

Structure (CIF):
```
data_La4Sm9Tl11
_chemical_formula_sum 'La8 Sm18 Tl22'
_symmetry_space_group_name_H-M 'C m m m'
_symmetry_Int_Tables_number 65
_symmetry_space_group_name_Hall '-C 2 2'
_cell_length_a 16.618
_cell_length_b 23.650
_cell_length_c 3.638
_cell_angle_alpha 90.00
_cell_angle_beta 90.00
_cell_angle_gamma 90.00
loop_
_atom_site_label
_atom_site_fract_x
_atom_site_fract_y
_atom_site_fract_z
_atom_site_occupancy
La1 0.170 0.082 0.000 1
Sm1 0.000 0.000 0.000 1
Sm2 0.107 0.404 0.000 1
Sm3 0.114 0.225 0.000 1
Tl1 0.000 0.124 0.500 1
Tl2 0.000 0.311 0.500 1
Tl3 0.000 0.500 0.500 1
Tl4 0.203 0.500 0.500 1
Tl5 0.226 0.317 0.500 1
```



No. 9
Computed, not measured: a relaxed La5SmTl3 crystal at the PBE-GGA level of DFT.

## Properties
- total magnetization (Bohr magnetons per cell) = 2.9
- E_form (meV per atom) = -292
- calculated total energy (eV per atom) = -4.3424

Structure (CIF):
```
data_La5SmTl3
_chemical_formula_sum 'La20 Sm4 Tl12'
_symmetry_space_group_name_H-M 'C m c m'
_symmetry_Int_Tables_number 63
_symmetry_space_group_name_Hall '-C 2c 2'
_cell_length_a 16.908
_cell_length_b 9.765
_cell_length_c 7.065
_cell_angle_alpha 90.00
_cell_angle_beta 90.00
_cell_angle_gamma 90.00
loop_
_atom_site_label
_atom_site_fract_x
_atom_site_fract_y
_atom_site_fract_z
_atom_site_occupancy
La1 0.000 0.162 0.250 1
La2 0.166 0.000 0.000 1
La3 0.170 0.331 0.750 1
Sm1 0.000 0.500 0.000 1
Tl1 0.000 0.175 0.750 1
Tl2 0.163 0.337 0.250 1
```



No. 10
Computed, not measured: a relaxed LaSm2Tl crystal at the PBE-GGA level of DFT.

## Properties
- total magnetization (Bohr magnetons per cell) = 0.0
- E_form (meV per atom) = -205
- energy relative to the lowest polymorph listed for this composition (meV/atom) = 0
- calculated total energy (eV per atom) = -4.3880

Structure (CIF):
```
data_LaSm2Tl
_chemical_formula_sum 'La1 Sm2 Tl1'
_symmetry_space_group_name_H-M 'P 4/m m m'
_symmetry_Int_Tables_number 123
_symmetry_space_group_name_Hall '-P 4 2'
_cell_length_a 5.020
_cell_length_b 5.020
_cell_length_c 4.909
_cell_angle_alpha 90.00
_cell_angle_beta 90.00
_cell_angle_gamma 90.00
loop_
_atom_site_label
_atom_site_fract_x
_atom_site_fract_y
_atom_site_fract_z
_atom_site_occupancy
La1 0.000 0.000 0.000 1
Sm1 0.000 0.500 0.500 1
Tl1 0.500 0.500 0.000 1
```



No. 11
Computed, not measured: a relaxed LaSm3Tl3 crystal at the PBE-GGA level of DFT.

## Properties
- total magnetization (Bohr magnetons per cell) = 0.0
- E_form (meV per atom) = -276
- energy relative to the lowest polymorph listed for this composition (meV/atom) = 12
- calculated total energy (eV per atom) = -4.0165

Structure (CIF):
```
data_LaSm3Tl3
_chemical_formula_sum 'La2 Sm6 Tl6'
_symmetry_space_group_name_H-M 'P 63/m'
_symmetry_Int_Tables_number 176
_symmetry_space_group_name_Hall '-P 6c'
_cell_length_a 9.7325
_cell_length_b 9.7325
_cell_length_c 5.3059
_cell_angle_alpha 90.00
_cell_angle_beta 90.00
_cell_angle_gamma 120.00
loop_
_atom_site_label
_atom_site_fract_x
_atom_site_fract_y
_atom_site_fract_z
_atom_site_occupancy
La1 0.3333 0.6667 0.2500 1
Sm1 0.0037 0.7653 0.7500 1
Tl1 0.0689 0.4485 0.7500 1
```